Pb2OF: relaxed, PBE.

Output
Symmetry: I-42d, No. 122
Offset from the most stable computed form in eV/f.u.: 0.863
Volume in Å³/f.u.: 98.04

Cell lengths 5.8765, 5.8765, 7.0359 Å; angles 65.32, 65.32, 90.00 degrees
Closest atoms and distances in Å follow each position.
Fractional positions:
Pb 0.5924 0.1250 0.2500  2 O 2.41, 2 F 2.63
Pb 0.1576 0.6250 0.2500  2 O 2.41, 2 F 2.63
Pb 0.3750 0.4076 0.7500  2 O 2.41, 2 F 2.63
Pb 0.8750 0.8424 0.7500  2 O 2.41, 2 F 2.63
O 0.5000 0.5000 0.0000  4 Pb 2.41
O 0.2500 0.7500 0.5000  4 Pb 2.41
F 0.0000 0.0000 0.0000  4 Pb 2.63
F 0.7500 0.2500 0.5000  4 Pb 2.63